Entry 1:
Below is K3NbNi2O6 after structural relaxation, with properties calculated at the GGA+U level.

Unit cell a=5.489 b=5.489 c=6.346 alpha=98.20 beta=98.20 gamma=120.05
Fractional positions:
K  0.000  0.000  0.000
K  0.327  0.673  0.000
K  0.673  0.327  0.000
Nb  0.500  0.500  0.500
Ni  0.166  0.834  0.500
Ni  0.834  0.166  0.500
O  0.124  0.440  0.321
O  0.245  0.245  0.682
O  0.440  0.124  0.321
O  0.560  0.876  0.679
O  0.755  0.755  0.318
O  0.876  0.560  0.679

Computed properties:
SG: C2/m, No. 12
Fermi-level density of states: 0.00 states/eV/cell
total energy: -5.6797 eV per atom
total magnetization: 4.00 μB/cell

=====

Entry 2:
Below is KNbNi2O after structural relaxation, with properties calculated at the GGA+U level.

Unit cell a=4.851 b=4.851 c=4.027 alpha=90.00 beta=90.00 gamma=90.00
Fractional positions:
K  0.000  0.000  0.000
Nb  0.500  0.500  0.500
Ni  0.000  0.500  0.500
Ni  0.500  0.000  0.500
O  0.500  0.500  0.000

Computed properties:
SG: P4/mmm, No. 123
Fermi-level density of states: 3.35 states/eV/cell
total energy: -3.7501 eV per atom
total magnetization: 0.43 μB/cell

=====

Entry 3:
Below is K2NbNiO4 after structural relaxation, with properties calculated at the GGA+U level.

Unit cell a=6.153 b=6.153 c=7.134 alpha=90.00 beta=90.00 gamma=90.00
Fractional positions:
K  0.000  0.000  0.000
K  0.000  0.500  0.250
K  0.500  0.000  0.750
K  0.500  0.500  0.500
Nb  0.000  0.500  0.750
Nb  0.500  0.000  0.250
Ni  0.000  0.000  0.500
Ni  0.500  0.500  0.000
O  0.137  0.291  0.596
O  0.209  0.637  0.904
O  0.291  0.863  0.404
O  0.363  0.209  0.096
O  0.637  0.791  0.096
O  0.709  0.137  0.404
O  0.791  0.363  0.904
O  0.863  0.709  0.596

Computed properties:
SG: I-4, No. 82
Fermi-level density of states: 0.00 states/eV/cell
total energy: -6.1546 eV per atom
total magnetization: 2.00 μB/cell